Material: VHRu
Method: DFT, PBE-GGA
State: relaxed

abc: 2.794 2.794 4.359
angles: 90.00 90.00 120.00
Positions (direct):
V 0.667 0.333 0.410
Ru 0.000 0.000 0.959
H 0.333 0.667 0.631

Results
DOS(E_F) in states/eV/atom: 0.923
Space group: P3m1 (156)
Final energy in eV per atom: -7.400
Energy relative to the lowest polymorph listed for this composition in kcal/mol of atoms: 0.52
ρ in Mg/m³: 8.6